[1]
First-principles (PBE) data for a relaxed K2RbF4 crystal, as listed in Alexandria via LeMat-Bulk.

Unit cell a=7.4108 b=7.4108 c=7.4108 alpha=109.53 beta=109.21 gamma=109.67
Element x y z (fractional)
K1 0.0000 0.0000 0.0000
K2 0.5000 0.0000 0.0000
K3 0.5000 0.0000 0.5000
K4 0.5000 0.5000 0.5000
Rb1 0.1247 0.3747 0.7500
Rb2 0.8753 0.6253 0.2500
F1 0.1924 0.1096 0.4172
F2 0.1924 0.7752 0.0828
F3 0.2744 0.6926 0.5818
F4 0.3892 0.3074 0.0818
F5 0.6108 0.6926 0.9182
F6 0.7256 0.3074 0.4182
F7 0.8076 0.2248 0.9172
F8 0.8076 0.8904 0.5828

**Uncorrected formation energy**: -2307 meV per atom



[2]
First-principles (PBE) data for a relaxed ZnTc3N crystal, as listed in Alexandria via LeMat-Bulk.

Unit cell a=7.6003 b=7.6003 c=4.6774 alpha=90.00 beta=90.00 gamma=141.38
Element x y z (fractional)
Zn1 0.1056 0.8944 0.7500
Zn2 0.8944 0.1056 0.2500
Tc1 0.0267 0.4476 0.7500
Tc2 0.4476 0.0267 0.2500
Tc3 0.5000 0.5000 0.0000
Tc4 0.5000 0.5000 0.5000
Tc5 0.5524 0.9733 0.7500
Tc6 0.9733 0.5524 0.2500
N1 0.3874 0.6126 0.7500
N2 0.6126 0.3874 0.2500

**Uncorrected formation energy**: 745 meV per atom



[3]
First-principles (PBE) data for a relaxed U2BS4 crystal, as listed in Alexandria via LeMat-Bulk.

Unit cell a=6.4510 b=6.4510 c=7.0663 alpha=115.32 beta=115.32 gamma=34.94
Element x y z (fractional)
U1 0.2311 0.2311 0.2342
U2 0.7689 0.7689 0.7658
B1 0.0000 0.0000 0.0000
S1 0.1356 0.1356 0.5053
S2 0.3857 0.3857 0.0553
S3 0.6143 0.6143 0.9447
S4 0.8644 0.8644 0.4947

**Uncorrected formation energy**: -673 meV per atom



[4]
First-principles (PBE) data for a relaxed AlPd8Au5 crystal, as listed in Alexandria via LeMat-Bulk.

Unit cell a=6.7799 b=6.7799 c=6.7799 alpha=110.32 beta=110.32 gamma=107.78
Element x y z (fractional)
Al1 0.0000 0.0000 0.0000
Pd1 0.1426 0.0701 0.7363
Pd2 0.3338 0.4064 0.2637
Pd3 0.4146 0.0224 0.2613
Pd4 0.5936 0.8574 0.9275
Pd5 0.7611 0.1532 0.7387
Pd6 0.8468 0.5854 0.6078
Pd7 0.9299 0.6662 0.0725
Pd8 0.9776 0.2389 0.3922
Au1 0.2105 0.5369 0.9070
Au2 0.2500 0.7500 0.5000
Au3 0.4631 0.3701 0.6736
Au4 0.6299 0.3035 0.0930
Au5 0.6965 0.7895 0.3264

**DFT formation energy**: -0.10 eV/atom



Which theoretical density belongs to each record? In order, 2.5; 7.4; 6.8; 12.9 g/cm³.
Which Fermi-level density of states belongs to each record? In order, 12.54; 10.47; 9.52; 6.70 states/eV/cell.